1.
Computed, not measured: a relaxed structure of ScFeCu2 at the PBE level of DFT.

Values from the calculation:
* formation enthalpy at 0 K: -0.014 eV per atom
* density of states at the Fermi level: 0.661 states/eV per atom
* space group: P4/mmm, No. 123
* total magnetization: 0.8 μB/cell

POSCAR file:
```
ScFeCu2
1.0
3.7321 0.0000 0.0000
0.0000 3.7321 0.0000
0.0000 0.0000 3.9375
Sc Fe Cu
1 1 2
direct
0.0000 0.0000 0.0000
0.5000 0.5000 0.0000
0.0000 0.5000 0.5000
0.5000 0.0000 0.5000
```

***

2.
Computed, not measured: a relaxed structure of Sc2FeCu at the PBE level of DFT.

Values from the calculation:
* formation enthalpy at 0 K: 0.011 eV per atom
* density of states at the Fermi level: 0.919 states/eV per atom
* space group: I-4m2, No. 119
* total magnetization: 0.8 μB/cell
* energy relative to the lowest polymorph listed for this composition: 213 meV per atom

POSCAR file:
```
Sc2FeCu
1.0
-1.9354 1.9354 4.4468
1.9354 -1.9354 4.4468
1.9354 1.9354 -4.4468
Sc Fe Cu
2 1 1
direct
0.0000 0.0000 0.0000
0.7500 0.2500 0.5000
0.5000 0.5000 0.0000
0.2500 0.7500 0.5000
```

***

3.
Computed, not measured: a relaxed structure of Sc6Fe2Cu at the PBE level of DFT.

Values from the calculation:
* formation enthalpy at 0 K: -0.126 eV per atom
* density of states at the Fermi level: 1.184 states/eV per atom
* space group: Immm, No. 71
* total magnetization: 0.0 μB/cell

POSCAR file:
```
Sc6Fe2Cu
1.0
-4.3342 4.3371 4.6154
4.3342 -4.3371 4.6154
4.3342 4.3371 -4.6154
Sc Fe Cu
12 4 2
direct
0.0503 0.2454 0.8048
0.1808 0.2750 0.4558
0.1808 0.7250 0.9058
0.3288 0.0149 0.6861
0.3288 0.6427 0.3139
0.4406 0.2454 0.1952
0.5594 0.7546 0.8048
0.6712 0.3573 0.6861
0.6712 0.9851 0.3139
0.8192 0.2750 0.0942
0.8192 0.7250 0.5442
0.9497 0.7546 0.1952
0.1157 0.6157 0.5000
0.3253 0.0000 0.3253
0.6747 0.0000 0.6747
0.8843 0.3843 0.5000
0.0000 0.0000 0.0000
0.5000 0.5000 0.0000
```

***

4.
Computed, not measured: a relaxed structure of SmScFeCu at the PBE level of DFT.

Values from the calculation:
* formation enthalpy at 0 K: 0.000 eV per atom
* density of states at the Fermi level: 1.232 states/eV per atom
* space group: F-43m, No. 216
* total magnetization: 0.7 μB/cell

POSCAR file:
```
SmScFeCu
1.0
0.0000 3.3428 3.3428
3.3428 0.0000 3.3428
3.3428 3.3428 0.0000
Sm Sc Fe Cu
1 1 1 1
direct
0.0000 0.0000 0.0000
0.5000 0.5000 0.5000
0.7500 0.7500 0.7500
0.2500 0.2500 0.2500
```

***

5.
Computed, not measured: a relaxed structure of SrScFe2Cu at the PBE level of DFT.

Values from the calculation:
* formation enthalpy at 0 K: 0.968 eV per atom
* density of states at the Fermi level: 2.136 states/eV per atom
* space group: P4/mmm, No. 123
* total magnetization: 0.2 μB/cell

POSCAR file:
```
SrScFe2Cu
1.0
4.6473 0.0000 0.0000
0.0000 4.6473 0.0000
0.0000 0.0000 4.6532
Sr Sc Fe Cu
1 1 2 1
direct
0.0000 0.0000 0.0000
0.5000 0.5000 0.0000
0.0000 0.5000 0.5000
0.5000 0.0000 0.5000
0.5000 0.5000 0.5000
```

***

6.
Computed, not measured: a relaxed structure of TbScFeCu at the PBE level of DFT.

Values from the calculation:
* formation enthalpy at 0 K: -0.054 eV per atom
* density of states at the Fermi level: 0.807 states/eV per atom
* space group: F-43m, No. 216
* total magnetization: 0.0 μB/cell

POSCAR file:
```
TbScFeCu
1.0
0.0000 3.2954 3.2954
3.2954 0.0000 3.2954
3.2954 3.2954 0.0000
Tb Sc Fe Cu
1 1 1 1
direct
0.0000 0.0000 0.0000
0.5000 0.5000 0.5000
0.2500 0.2500 0.2500
0.7500 0.7500 0.7500
```

***

7.
Computed, not measured: a relaxed structure of ScFeCuTe2 at the PBE level of DFT.

Values from the calculation:
* density of states at the Fermi level: 0.816 states/eV per atom
* space group: P4/mmm, No. 123
* total magnetization: 1.2 μB/cell
* E_form (uncorrected): 0.32 eV/atom

POSCAR file:
```
ScFeCuTe2
1.0
5.0358 0.0000 0.0000
0.0000 5.0358 0.0000
0.0000 0.0000 4.5459
Sc Fe Cu Te
1 1 1 2
direct
0.0000 0.0000 0.0000
0.0000 0.0000 0.5000
0.5000 0.5000 0.0000
0.0000 0.5000 0.5000
0.5000 0.0000 0.5000
```

***

8.
Computed, not measured: a relaxed structure of ScTiFeCu at the PBE level of DFT.

Values from the calculation:
* formation enthalpy at 0 K: -0.153 eV per atom
* density of states at the Fermi level: 0.908 states/eV per atom
* space group: F-43m, No. 216
* total magnetization: 0.0 μB/cell

POSCAR file:
```
ScTiFeCu
1.0
0.0000 3.0955 3.0955
3.0955 0.0000 3.0955
3.0955 3.0955 0.0000
Sc Ti Fe Cu
1 1 1 1
direct
0.0000 0.0000 0.0000
0.5000 0.5000 0.5000
0.7500 0.7500 0.7500
0.2500 0.2500 0.2500
```

***

9.
Computed, not measured: a relaxed structure of YScFeCu at the PBE level of DFT.

Values from the calculation:
* formation enthalpy at 0 K: -0.048 eV per atom
* density of states at the Fermi level: 0.778 states/eV per atom
* space group: F-43m, No. 216
* total magnetization: 0.0 μB/cell

POSCAR file:
```
YScFeCu
1.0
0.0000 3.2971 3.2971
3.2971 0.0000 3.2971
3.2971 3.2971 0.0000
Y Sc Fe Cu
1 1 1 1
direct
0.0000 0.0000 0.0000
0.5000 0.5000 0.5000
0.2500 0.2500 0.2500
0.7500 0.7500 0.7500
```

***

10.
Computed, not measured: a relaxed structure of ZrScFeCu at the PBE level of DFT.

Values from the calculation:
* formation enthalpy at 0 K: -0.161 eV per atom
* density of states at the Fermi level: 0.849 states/eV per atom
* space group: F-43m, No. 216
* total magnetization: 0.0 μB/cell

POSCAR file:
```
ZrScFeCu
1.0
0.0000 3.2027 3.2027
3.2027 0.0000 3.2027
3.2027 3.2027 0.0000
Zr Sc Fe Cu
1 1 1 1
direct
0.0000 0.0000 0.0000
0.5000 0.5000 0.5000
0.2500 0.2500 0.2500
0.7500 0.7500 0.7500
```

***

11.
Computed, not measured: a relaxed structure of Fe2CuSe4 at the PBE level of DFT.

Values from the calculation:
* density of states at the Fermi level: 1.382 states/eV per atom
* space group: C2/c, No. 15
* total magnetization: 5.1 μB/cell
* E_form (uncorrected): -0.23 eV/atom

POSCAR file:
```
Fe2CuSe4
1.0
5.0438 -5.0417 0.0000
5.0438 5.0417 0.0000
-5.0357 0.0000 5.0492
Fe Cu Se
4 2 8
direct
0.0000 0.0000 0.0000
0.0000 0.0000 0.5000
0.0000 0.5000 0.0000
0.5000 0.0000 0.5000
0.3752 0.6248 0.7500
0.6248 0.3752 0.2500
0.2168 0.2386 0.9773
0.2386 0.2168 0.4773
0.2394 0.7612 0.0228
0.2388 0.7606 0.4772
0.7612 0.2394 0.5228
0.7606 0.2388 0.9772
0.7614 0.7832 0.5227
0.7832 0.7614 0.0227
```

***

12.
Computed, not measured: a relaxed structure of Fe3CuSe at the PBE level of DFT.

Values from the calculation:
* density of states at the Fermi level: 1.085 states/eV per atom
* space group: Pm-3m, No. 221
* total magnetization: 6.8 μB/cell
* energy relative to the lowest polymorph listed for this composition: 0 meV per atom
* E_form (uncorrected): 0.83 eV/atom

POSCAR file:
```
Fe3CuSe
1.0
4.3565 0.0000 0.0000
0.0000 4.3565 0.0000
0.0000 0.0000 4.3565
Fe Cu Se
3 1 1
direct
0.0000 0.0000 0.5000
0.0000 0.5000 0.0000
0.5000 0.0000 0.0000
0.5000 0.5000 0.5000
0.0000 0.0000 0.0000
```

***

13.
Computed, not measured: a relaxed structure of Fe3CuSe at the PBE level of DFT.

Values from the calculation:
* density of states at the Fermi level: 1.272 states/eV per atom
* space group: Pm-3m, No. 221
* total magnetization: 9.0 μB/cell
* energy relative to the lowest polymorph listed for this composition: 198 meV per atom
* E_form (uncorrected): 1.03 eV/atom

POSCAR file:
```
Fe3CuSe
1.0
4.4144 0.0000 0.0000
0.0000 4.4144 0.0000
0.0000 0.0000 4.4144
Fe Cu Se
3 1 1
direct
0.0000 0.0000 0.5000
0.0000 0.5000 0.0000
0.5000 0.0000 0.0000
0.0000 0.0000 0.0000
0.5000 0.5000 0.5000
```

***

14.
Computed, not measured: a relaxed structure of FeCuSe at the PBE level of DFT.

Values from the calculation:
* density of states at the Fermi level: 0.859 states/eV per atom
* space group: Amm2, No. 38
* total magnetization: 4.9 μB/cell
* energy relative to the lowest polymorph listed for this composition: 201 meV per atom
* E_form (uncorrected): 0.28 eV/atom

POSCAR file:
```
FeCuSe
1.0
11.3575 0.0000 0.0000
0.0000 1.5250 2.6352
0.0000 -1.5250 2.6352
Fe Cu Se
2 2 2
direct
0.0000 0.0000 0.0000
0.5000 0.0079 0.0079
0.3375 0.6727 0.6727
0.6625 0.6727 0.6727
0.1476 0.3332 0.3332
0.8524 0.3332 0.3332
```